VASP calculation (PBE+U) on a relaxed structure of K2CoPbO4.

abc: 5.786 5.786 5.786
angles: 95.71 116.76 116.76
Fractional coordinates of all 8 atoms:
O1 0.403 0.852 0.766
Pb1 0.500 0.250 0.750
O2 0.914 0.552 0.148
O3 0.597 0.362 0.448
K1 0.000 0.000 0.000
Co1 0.000 0.500 0.500
K2 0.500 0.750 0.250
O4 0.086 0.234 0.638

electronic total energy = -40.38 eV for the cell shown
space group = I-4, No. 82
magnetic moment = 3.0 μB/f.u.